## TlHW3 (PBE)

Data for crystalline TlHW3 at its relaxed geometry.

Summary:
crystal system = cubic
SG = Pm-3m, No. 221
density = 17.68 g/cm3
calculated volume = 71.1 Å³ per cell
size of the total moment = 0.000 μB/f.u.
VASP energy = -8.17 eV/atom

```
TlHW3
1.0
4.143 0.000 0.000
0.000 4.143 0.000
0.000 0.000 4.143
W Tl H
3 1 1
direct
0.000 0.500 0.000 W
0.500 0.000 0.000 W
0.000 0.000 0.500 W
0.500 0.500 0.500 Tl
0.000 0.000 0.000 H
```

## TlHW3 (PBE)

Data for crystalline TlHW3 at its relaxed geometry.

Summary:
crystal system = cubic
SG = Pm-3m, No. 221
density = 9.97 g/cm3
calculated volume = 126.1 Å³ per cell
size of the total moment = 0.000 μB/f.u.
VASP energy = -4.91 eV/atom

```
TlHW3
1.0
5.015 0.000 0.000
0.000 5.015 0.000
0.000 0.000 5.015
W H Tl
3 1 1
direct
0.500 0.000 0.000 W
0.000 0.500 0.000 W
0.000 0.000 0.500 W
0.500 0.500 0.500 H
0.000 0.000 0.000 Tl
```

## Y2TlH (PBE)

Data for crystalline Y2TlH at its relaxed geometry.

Summary:
crystal system = monoclinic
SG = C2/m, No. 12
density = 7.25 g/cm3
calculated volume = 351.0 Å³ per cell
size of the total moment = 0.000 μB/f.u.
VASP energy = -5.01 eV/atom

```
Y2TlH
1.0
4.995 0.000 0.000
0.000 6.761 -0.186
0.000 -1.501 10.433
Y Tl H
8 4 4
direct
0.750 0.643 0.577 Y
0.250 0.979 0.699 Y
0.250 0.357 0.423 Y
0.250 0.143 0.077 Y
0.750 0.479 0.199 Y
0.750 0.857 0.923 Y
0.250 0.521 0.801 Y
0.750 0.021 0.301 Y
0.750 0.314 0.893 Tl
0.250 0.814 0.393 Tl
0.750 0.186 0.607 Tl
0.250 0.686 0.107 Tl
0.750 0.369 0.384 H
0.750 0.131 0.116 H
0.250 0.631 0.616 H
0.250 0.869 0.884 H
```

## YTl2H (PBE)

Data for crystalline YTl2H at its relaxed geometry.

Summary:
crystal system = cubic
SG = Fm-3m, No. 225
density = 8.72 g/cm3
calculated volume = 95.0 Å³ per cell
size of the total moment = 0.000 μB/f.u.
VASP energy = -3.25 eV/atom

```
YTl2H
1.0
-1.116 -0.500 4.974
-4.017 -2.827 1.452
0.743 -4.489 2.352
H Y Tl
1 1 2
direct
0.000 0.000 0.000 H
0.500 0.500 0.500 Y
0.250 0.250 0.250 Tl
0.750 0.750 0.750 Tl
```

## YTlH (PBE)

Data for crystalline YTlH at its relaxed geometry.

Summary:
crystal system = tetragonal
SG = I4mm, No. 107
density = 7.88 g/cm3
calculated volume = 62.0 Å³ per cell
size of the total moment = 0.497 μB/f.u.
VASP energy = -4.22 eV/atom

```
YTlH
1.0
-0.175 -0.019 3.237
2.147 -2.426 0.102
3.422 5.136 -1.408
H Tl Y
1 1 1
direct
0.265 0.265 0.530 H
0.003 0.003 0.006 Tl
0.732 0.732 0.464 Y
```

## YTlH (PBE)

Data for crystalline YTlH at its relaxed geometry.

Summary:
crystal system = monoclinic
SG = C2/m, No. 12
density = 8.22 g/cm3
calculated volume = 118.9 Å³ per cell
size of the total moment = 0.000 μB/f.u.
VASP energy = -4.46 eV/atom

```
YTlH
1.0
-2.294 2.209 1.838
1.023 -1.869 2.997
6.581 5.724 1.304
Tl H Y
2 2 2
direct
0.314 0.367 0.301 Tl
0.813 0.866 0.538 Tl
0.814 0.367 0.920 H
0.314 0.866 0.920 H
0.313 0.366 0.773 Y
0.814 0.867 0.066 Y
```

## YTl2H (PBE)

Data for crystalline YTl2H at its relaxed geometry.

Summary:
crystal system = tetragonal
SG = I-42d, No. 122
density = 8.72 g/cm3
calculated volume = 190.0 Å³ per cell
size of the total moment = 0.000 μB/f.u.
VASP energy = -3.41 eV/atom

```
YTl2H
1.0
6.875 0.000 0.000
0.000 6.875 0.000
3.437 3.437 4.020
Tl H Y
4 2 2
direct
0.375 0.484 0.750 Tl
0.875 0.766 0.750 Tl
0.516 0.125 0.250 Tl
0.234 0.625 0.250 Tl
0.500 0.500 0.000 H
0.250 0.750 0.500 H
0.000 0.000 0.000 Y
0.750 0.250 0.500 Y
```

## Y2TlH (PBE)

Data for crystalline Y2TlH at its relaxed geometry.

Summary:
crystal system = trigonal
SG = R-3m, No. 166
density = 7.15 g/cm3
calculated volume = 89.0 Å³ per cell
size of the total moment = 0.000 μB/f.u.
VASP energy = -4.98 eV/atom

```
Y2TlH
1.0
-2.673 2.408 0.450
-1.077 0.910 3.340
3.991 6.902 1.375
Y Tl H
2 1 1
direct
0.725 0.725 0.825 Y
0.275 0.275 0.175 Y
0.500 0.500 0.500 Tl
0.000 0.000 0.000 H
```